# K2FeTeO6

A relaxed structure of K2FeTeO6 (GGA+U, Alexandria).

abc: 6.1614 7.6738 6.1757
angles: 90.00 90.00 90.00
Element x y z (fractional)
K  0.0000  0.2259  0.0000
K  0.0000  0.7741  0.0000
K  0.5000  0.2272  0.0034
K  0.5000  0.7728  0.0034
Fe  0.0000  0.0000  0.4943
Fe  0.5000  0.5000  0.5229
Te  0.0000  0.5000  0.5514
Te  0.5000  0.0000  0.5141
O  0.0000  0.2887  0.4102
O  0.0000  0.7113  0.4102
O  0.2315  0.5000  0.7460
O  0.2395  0.0000  0.7187
O  0.2649  0.0000  0.2913
O  0.3785  0.5000  0.2220
O  0.5000  0.2472  0.5491
O  0.5000  0.7528  0.5491
O  0.6215  0.5000  0.2220
O  0.7351  0.0000  0.2913
O  0.7605  0.0000  0.7187
O  0.7685  0.5000  0.7460

DFT total energy, eV/atom: -5.242
Space group: Pmm2 (25)
M_tot, Bohr magnetons per cell: 10.03